A relaxed ScIr2W crystal, computed with GGA-PBEsol.

Output
- ρ (g/cm3) = 16.51
- polymorph energy (0 for the lowest one) (meV/atom) = 153
- volume (Å³/f.u.) = 62
- density of states at the Fermi level (states/eV/cell) = 2.094

Unit cell a=4.9731 b=4.9731 c=4.9731 alpha=134.46 beta=134.46 gamma=66.38
With the nearest neighbours (Å) after each atom.
Sites, in units of the cell vectors:
Sc 0.0000 0.0000 0.0000  8 Ir 2.72-2.83, 4 W 2.83
Ir 0.5000 0.5000 0.0000  4 Sc 2.72, 4 W 2.83, 4 Ir 2.83
Ir 0.7500 0.2500 0.5000  4 W 2.72, 4 Ir 2.83, 4 Sc 2.83
W 0.2500 0.7500 0.5000  8 Ir 2.72-2.83, 4 Sc 2.83